(1)
# NpTeH, relaxed, DFT PBE
data_NpTeH
_chemical_formula_sum 'Np1 Te1 H1'
_cell_length_a 3.325
_cell_length_b 3.325
_cell_length_c 5.868
_cell_angle_alpha 106.46
_cell_angle_beta 106.46
_cell_angle_gamma 90.00
_space_group_name_H-M_alt 'P 1'
_space_group_IT_number 1
_space_group_name_Hall 'P 1'
loop_
_atom_site_label
_atom_site_fract_x
_atom_site_fract_y
_atom_site_fract_z
Te1 0.009 0.009 0.018
Np1 0.712 0.712 0.424
H1 0.279 0.279 0.557
# Total magnetic moment, μB/f.u.: 4.59
# E_tot, eV/atom: -6.643
# Symmetry: I4mm (107)


(2)
# Tb2Zn5Ni4, relaxed, DFT PBE
data_Tb2Zn5Ni4
_chemical_formula_sum 'Tb2 Zn5 Ni4'
_cell_length_a 5.155
_cell_length_b 5.111
_cell_length_c 8.262
_cell_angle_alpha 80.95
_cell_angle_beta 71.82
_cell_angle_gamma 59.72
_space_group_name_H-M_alt 'P 1'
_space_group_IT_number 1
_space_group_name_Hall 'P 1'
loop_
_atom_site_label
_atom_site_fract_x
_atom_site_fract_y
_atom_site_fract_z
Zn1 0.500 0.500 0.000
Zn2 0.000 0.500 0.000
Zn3 0.250 0.500 0.500
Zn4 0.750 0.500 0.500
Zn5 0.500 0.000 0.000
Ni1 0.785 0.687 0.743
Ni2 0.215 0.313 0.257
Ni3 0.528 0.687 0.257
Ni4 0.472 0.313 0.743
Tb1 0.140 0.000 0.720
Tb2 0.860 0.000 0.280
# Total magnetic moment, μB/f.u.: 0.00
# E_tot, eV/atom: -3.859
# Formation enthalpy at 0 K, eV/f.u.: -3.69
# Symmetry: Fmmm (69)


(3)
# Pm5MgRu4, relaxed, DFT PBE
data_Pm5MgRu4
_chemical_formula_sum 'Pm5 Mg1 Ru4'
_cell_length_a 3.494
_cell_length_b 3.494
_cell_length_c 18.826
_cell_angle_alpha 90.00
_cell_angle_beta 90.00
_cell_angle_gamma 90.00
_space_group_name_H-M_alt 'P 1'
_space_group_IT_number 1
_space_group_name_Hall 'P 1'
loop_
_atom_site_label
_atom_site_fract_x
_atom_site_fract_y
_atom_site_fract_z
Ru1 0.000 0.000 0.216
Ru2 0.000 0.000 0.784
Ru3 0.000 0.000 0.406
Ru4 0.000 0.000 0.594
Pm1 0.500 0.500 0.131
Pm2 0.500 0.500 0.685
Pm3 0.500 0.500 0.315
Pm4 0.500 0.500 0.500
Pm5 0.500 0.500 0.869
Mg1 0.000 0.000 0.000
# Total magnetic moment, μB/f.u.: 0.00
# E_tot, eV/atom: -6.401
# Formation enthalpy at 0 K, eV/f.u.: -1.56
# Symmetry: P4/mmm (123)


(4)
# YTlOs4, relaxed, DFT PBE
data_YTlOs4
_chemical_formula_sum 'Y1 Tl1 Os4'
_cell_length_a 5.333
_cell_length_b 5.333
_cell_length_c 5.333
_cell_angle_alpha 60.00
_cell_angle_beta 60.00
_cell_angle_gamma 60.00
_space_group_name_H-M_alt 'P 1'
_space_group_IT_number 1
_space_group_name_Hall 'P 1'
loop_
_atom_site_label
_atom_site_fract_x
_atom_site_fract_y
_atom_site_fract_z
Os1 0.874 0.375 0.375
Os2 0.375 0.375 0.874
Os3 0.375 0.874 0.375
Os4 0.375 0.375 0.375
Y1 0.000 0.000 0.000
Tl1 0.750 0.750 0.750
# Total magnetic moment, μB/f.u.: 0.00
# E_tot, eV/atom: -8.651
# Formation enthalpy at 0 K, eV/f.u.: 1.84
# Symmetry: F-43m (216)


(5)
# Rb2CBrCl6, relaxed, DFT PBE
data_Rb2CBrCl6
_chemical_formula_sum 'Rb2 C1 Br1 Cl6'
_cell_length_a 7.345
_cell_length_b 7.345
_cell_length_c 7.190
_cell_angle_alpha 59.28
_cell_angle_beta 59.28
_cell_angle_gamma 90.00
_space_group_name_H-M_alt 'P 1'
_space_group_IT_number 1
_space_group_name_Hall 'P 1'
loop_
_atom_site_label
_atom_site_fract_x
_atom_site_fract_y
_atom_site_fract_z
Br1 0.000 0.000 0.000
Rb1 0.250 0.750 0.500
Rb2 0.750 0.250 0.500
Cl1 0.700 0.700 0.000
Cl2 0.263 0.263 0.474
Cl3 0.700 0.300 0.000
Cl4 0.300 0.300 0.000
Cl5 0.737 0.737 0.526
Cl6 0.300 0.700 0.000
C1 0.500 0.500 0.000
# Total magnetic moment, μB/f.u.: 0.00
# E_tot, eV/atom: -2.748
# Energy relative to the elements, uncorrected, eV/atom: -0.3567
# Symmetry: I4/mmm (139)


(6)
# NaScC, relaxed, DFT PBE
data_NaScC
_chemical_formula_sum 'Na4 Sc4 C4'
_cell_length_a 6.137
_cell_length_b 3.861
_cell_length_c 8.618
_cell_angle_alpha 90.00
_cell_angle_beta 90.00
_cell_angle_gamma 90.00
_space_group_name_H-M_alt 'P 1'
_space_group_IT_number 1
_space_group_name_Hall 'P 1'
loop_
_atom_site_label
_atom_site_fract_x
_atom_site_fract_y
_atom_site_fract_z
Na1 0.104 0.750 0.590
Na2 0.396 0.250 0.090
Na3 0.896 0.250 0.410
Na4 0.604 0.750 0.910
Sc1 0.491 0.750 0.366
Sc2 0.991 0.750 0.134
Sc3 0.509 0.250 0.634
Sc4 0.009 0.250 0.866
C1 0.824 0.250 0.085
C2 0.324 0.250 0.415
C3 0.176 0.750 0.915
C4 0.676 0.750 0.585
# Total magnetic moment, μB/f.u.: 0.00
# E_tot, eV/atom: -5.329
# Polymorph energy (0 for the lowest one), eV per formula unit: 1.315
# Formation enthalpy at 0 K, eV/f.u.: 0.89
# Symmetry: Pnma (62)


(7)
# KMnBeBi2, relaxed, DFT PBE
data_KMnBeBi2
_chemical_formula_sum 'K1 Mn1 Be1 Bi2'
_cell_length_a 5.151
_cell_length_b 5.524
_cell_length_c 5.151
_cell_angle_alpha 90.00
_cell_angle_beta 90.00
_cell_angle_gamma 90.00
_space_group_name_H-M_alt 'P 1'
_space_group_IT_number 1
_space_group_name_Hall 'P 1'
loop_
_atom_site_label
_atom_site_fract_x
_atom_site_fract_y
_atom_site_fract_z
Mn1 0.500 0.500 0.500
Bi1 0.500 0.000 0.000
Bi2 0.000 0.000 0.500
Be1 0.000 0.000 0.000
K1 0.000 0.500 0.000
# Total magnetic moment, μB/f.u.: 5.02
# E_tot, eV/atom: -3.623
# Formation enthalpy at 0 K, eV/f.u.: 3.64
# Symmetry: P4/mmm (123)


(8)
# Cu3Ni, relaxed, DFT PBE
data_Cu3Ni
_chemical_formula_sum 'Cu6 Ni2'
_cell_length_a 5.062
_cell_length_b 4.175
_cell_length_c 4.394
_cell_angle_alpha 90.00
_cell_angle_beta 90.00
_cell_angle_gamma 90.00
_space_group_name_H-M_alt 'P 1'
_space_group_IT_number 1
_space_group_name_Hall 'P 1'
loop_
_atom_site_label
_atom_site_fract_x
_atom_site_fract_y
_atom_site_fract_z
Cu1 0.251 0.000 0.168
Cu2 0.249 0.500 0.832
Cu3 0.500 0.000 0.665
Cu4 0.749 0.000 0.168
Cu5 0.000 0.500 0.335
Cu6 0.751 0.500 0.832
Ni1 0.000 0.000 0.667
Ni2 0.500 0.500 0.333
# Total magnetic moment, μB/f.u.: 0.00
# E_tot, eV/atom: -4.501
# Formation enthalpy at 0 K, eV/f.u.: 0.07
# Symmetry: Pmmn (59)


(9)
# HSe2S, relaxed, DFT PBE
data_HSe2S
_chemical_formula_sum 'H1 Se2 S1'
_cell_length_a 7.050
_cell_length_b 7.050
_cell_length_c 7.050
_cell_angle_alpha 29.47
_cell_angle_beta 29.47
_cell_angle_gamma 29.47
_space_group_name_H-M_alt 'P 1'
_space_group_IT_number 1
_space_group_name_Hall 'P 1'
loop_
_atom_site_label
_atom_site_fract_x
_atom_site_fract_y
_atom_site_fract_z
S1 0.000 0.000 0.000
Se1 0.112 0.112 0.112
Se2 0.888 0.888 0.888
H1 0.500 0.500 0.500
# Total magnetic moment, μB/f.u.: 0.00
# E_tot, eV/atom: -2.865
# Polymorph energy (0 for the lowest one), eV per formula unit: 0.961
# Symmetry: R-3m (166)


(10)
# Ac3Sn2Au7, relaxed, DFT PBE
data_Ac3Sn2Au7
_chemical_formula_sum 'Ac3 Sn2 Au7'
_cell_length_a 4.659
_cell_length_b 4.659
_cell_length_c 15.064
_cell_angle_alpha 98.90
_cell_angle_beta 98.90
_cell_angle_gamma 90.00
_space_group_name_H-M_alt 'P 1'
_space_group_IT_number 1
_space_group_name_Hall 'P 1'
loop_
_atom_site_label
_atom_site_fract_x
_atom_site_fract_y
_atom_site_fract_z
Ac1 0.500 0.500 0.000
Ac2 0.674 0.674 0.348
Ac3 0.326 0.326 0.652
Sn1 0.874 0.874 0.747
Sn2 0.126 0.126 0.253
Au1 0.924 0.424 0.848
Au2 0.076 0.576 0.152
Au3 0.576 0.076 0.152
Au4 0.424 0.924 0.848
Au5 0.780 0.780 0.559
Au6 0.220 0.220 0.441
Au7 0.000 0.000 0.000
# Total magnetic moment, μB/f.u.: 0.00
# E_tot, eV/atom: -4.100
# Formation enthalpy at 0 K, eV/f.u.: -5.92
# Symmetry: I4/mmm (139)


(11)
# LiPrZrRu, relaxed, DFT PBE
data_LiPrZrRu
_chemical_formula_sum 'Li1 Pr1 Zr1 Ru1'
_cell_length_a 4.887
_cell_length_b 4.887
_cell_length_c 4.887
_cell_angle_alpha 60.00
_cell_angle_beta 60.00
_cell_angle_gamma 60.00
_space_group_name_H-M_alt 'P 1'
_space_group_IT_number 1
_space_group_name_Hall 'P 1'
loop_
_atom_site_label
_atom_site_fract_x
_atom_site_fract_y
_atom_site_fract_z
Pr1 0.000 0.000 0.000
Ru1 0.750 0.750 0.750
Zr1 0.500 0.500 0.500
Li1 0.250 0.250 0.250
# Total magnetic moment, μB/f.u.: 0.00
# E_tot, eV/atom: -6.213
# Formation enthalpy at 0 K, eV/f.u.: -0.34
# Symmetry: F-43m (216)


(12)
# CaInPb, relaxed, DFT PBE
data_CaInPb
_chemical_formula_sum 'Ca1 In1 Pb1'
_cell_length_a 6.312
_cell_length_b 6.315
_cell_length_c 6.315
_cell_angle_alpha 143.19
_cell_angle_beta 143.18
_cell_angle_gamma 53.06
_space_group_name_H-M_alt 'P 1'
_space_group_IT_number 1
_space_group_name_Hall 'P 1'
loop_
_atom_site_label
_atom_site_fract_x
_atom_site_fract_y
_atom_site_fract_z
Pb1 0.681 0.681 0.000
Ca1 0.997 0.997 0.000
In1 0.322 0.322 0.000
# Total magnetic moment, μB/f.u.: 0.00
# E_tot, eV/atom: -3.100
# Formation enthalpy at 0 K, eV/f.u.: -0.85
# Symmetry: I4mm (107)